Record 1
VASP calculation (PBE-GGA) on AcMg2Zn2Ag after structural relaxation.

```
6
Lattice="-4.6413 -1.5869 1.5954 -1.3408 -0.9868 -4.8820 5.0268 -4.1289 2.1788" Properties=species:S:1:pos:R:3 pbc="T T T"
Ag 0.0000 0.0000 0.0000
Mg -1.3028 -3.5013 1.0655
Mg 0.3475 -3.2013 -2.1732
Zn -1.8373 -4.3561 -1.3398
Zn 0.8820 -2.3465 0.2320
Ac -2.9911 -1.2868 -1.6433
```

Total DFT energy (no corrections), eV for the cell shown: -12.5
Space group: I4/mmm, No. 139
Size of the total moment, μB per cell: 0.000
DOS(E_F), states/eV/atom: 0.632
ΔH_f (0 K), eV/atom: 0.033

=====

Record 2
VASP calculation (PBE-GGA) on K2Cu3PdF12 after structural relaxation.

```
18
Lattice="-5.6686 -1.7141 -4.9959 -1.3772 -6.9645 -3.1032 -6.1408 -4.4949 1.4546" Properties=species:S:1:pos:R:3 pbc="T T T"
Cu -0.6886 -3.4822 -1.5516
Cu -3.0704 -2.2475 0.7273
Cu -2.8343 -0.8571 -2.4979
F -4.4290 -2.0698 -3.5076
F -8.4760 -9.4454 -6.9835
F -5.1103 -8.4240 -4.0057
F -8.0763 -4.7495 -2.6388
F -8.7576 -11.1037 -3.1369
F -4.7107 -3.7281 0.3390
F -5.2475 -6.2161 -5.3454
F -11.3167 -7.9728 -4.2655
F -5.5279 -7.8674 -1.5148
F -7.6587 -5.3061 -5.1297
F -1.8699 -5.2008 -2.3789
F -7.9392 -6.9575 -1.2991
K -5.1714 -5.1663 -2.6058
K -8.0152 -8.0072 -4.0387
Pd 0.0000 0.0000 0.0000
```

Uncorrected formation energy, eV/f.u.: -32.35
Total DFT energy (no corrections), eV for the cell shown: -74.5
Space group: R-3m, No. 166
Size of the total moment, μB per cell: 2.976
DOS(E_F), states/eV/atom: 0.057